Compound: In3Hg3Bi
Source: Alexandria
Functional: PBE
Structure: optimized geometry

Properties
* symmetry: No. 12
* formation enthalpy at 0 K: 32 meV per atom
* total magnetic moment: 0.00 μB/f.u.

```
In3Hg3Bi
1.0
6.484 1.142 0.024
-1.480 6.415 0.024
0.050 0.076 9.433
In Bi Hg
6 2 6
Direct
0.778 0.222 0.500
0.496 0.496 0.303
0.222 0.778 0.500
0.799 0.201 0.000
0.504 0.504 0.697
0.201 0.799 0.000
0.317 0.317 0.999
0.683 0.683 0.001
0.000 0.500 0.732
0.000 0.500 0.268
0.500 0.000 0.732
0.500 0.000 0.268
0.998 0.998 0.267
0.002 0.002 0.733
```

---

Compound: Na2LaAg
Source: Alexandria
Functional: PBE
Structure: optimized geometry

Properties
* symmetry: No. 166
* formation enthalpy at 0 K: 180 meV per atom
* total magnetic moment: 0.00 μB/f.u.

```
Na2LaAg
1.0
3.331 0.000 0.000
1.666 2.885 0.000
1.666 0.962 11.899
Ag La Na
1 1 2
Direct
0.500 0.500 0.500
0.000 0.000 0.000
0.902 0.902 0.294
0.098 0.098 0.706
```

---

Compound: Tm3ThSc6
Source: Alexandria
Functional: PBE
Structure: optimized geometry

Properties
* symmetry: No. 155
* formation enthalpy at 0 K: 418 meV per atom
* total magnetic moment: 0.00 μB/f.u.

```
Tm3ThSc6
1.0
-4.082 7.093 -4.205
-6.460 4.856 4.397
-0.836 6.324 1.413
Tm Sc Th
3 6 1
Direct
0.400 0.400 0.800
0.157 0.157 0.529
0.643 0.643 0.072
0.735 0.065 0.800
0.400 0.735 0.800
0.065 0.400 0.800
0.236 0.900 0.300
0.900 0.564 0.300
0.564 0.236 0.300
0.900 0.900 0.300
```

---

Compound: Mo3Os
Source: Alexandria
Functional: PBE
Structure: optimized geometry

Properties
* symmetry: No. 221
* formation enthalpy at 0 K: 2458 meV per atom
* total magnetic moment: 0.00 μB/f.u.

```
Mo3Os
1.0
4.771 0.000 0.000
0.000 4.771 0.000
0.000 0.000 4.771
Mo Os
3 1
Direct
0.000 0.000 0.500
0.500 0.000 0.000
0.000 0.500 0.000
0.000 0.000 0.000
```

---

Compound: NpCdPb2
Source: Alexandria
Functional: PBE
Structure: optimized geometry

Properties
* symmetry: No. 166
* formation enthalpy at 0 K: 266 meV per atom
* total magnetic moment: 4.60 μB/f.u.

```
NpCdPb2
1.0
3.354 0.000 0.000
1.677 2.904 0.000
1.677 0.968 11.642
Cd Pb Np
1 2 1
Direct
0.000 0.000 0.000
0.086 0.086 0.743
0.914 0.914 0.257
0.500 0.500 0.500
```

---

Compound: SbTe2IN
Source: Alexandria
Functional: PBE
Structure: optimized geometry

Properties
* energy relative to the elements, uncorrected: 1783 meV/atom
* symmetry: No. 123
* total magnetic moment: 0.00 μB/f.u.

```
SbTe2IN
1.0
5.775 0.000 0.000
0.000 5.775 0.000
0.000 0.000 5.833
Sb Te N I
1 2 1 1
Direct
0.000 0.000 0.000
0.500 0.000 0.000
0.000 0.500 0.000
0.500 0.500 0.500
0.000 0.000 0.500
```